<i>
The following is a DFT calculation (PBE-GGA) of a geometry-optimized Ti2Tc2Sn structure.

For the density of states at the Fermi level, the calculation gives 9.13 states/eV per cell. The calculation puts the magnetic moment at 0.0 Bohr magnetons per cell.

The structure belongs to space group P4/mbm (No. 127); the cell edges are 7.386, 7.386 and 3.080 Å and the angles 90.00°, 90.00° and 90.00°. The distinct sites, in fractional coordinates, are Ti at (0.129, 0.371, 0.000), Tc at (0.181, 0.681, 0.500) and Sn at (0.000, 0.000, 0.000).


<ii>
The following is a DFT calculation (PBE-GGA) of a geometry-optimized Ti2Tc2Sn structure.

For the density of states at the Fermi level, the calculation gives 13.18 states/eV per cell. The calculation puts the magnetic moment at 0.0 Bohr magnetons per cell.

The structure belongs to space group I4/mmm (No. 139); the cell edges are 3.522, 3.522 and 14.977 Å and the angles 90.00°, 90.00° and 90.00°. The distinct sites, in fractional coordinates, are Ti at (0.000, 0.000, 0.109), Tc at (0.000, 0.500, 0.250) and Sn at (0.000, 0.000, 0.500).


The structure with the most favorable energy is <i>; the runner-up is 0.123 eV/atom above it.


<i>
The following is a DFT calculation (PBE-GGA) of a geometry-optimized Tl2TcSn structure.

For the density of states at the Fermi level, the calculation gives 13.68 states/eV per cell. The calculation puts the magnetic moment at 0.0 Bohr magnetons per cell.

The structure belongs to space group I4_1/amd (No. 141, origin choice 2); the cell edges are 10.539, 10.539 and 5.172 Å and the angles 90.00°, 90.00° and 90.00°. The distinct sites, in fractional coordinates, are Tl at (0.000, 0.000, 0.000), Tc at (0.000, 0.250, 0.875) and Sn at (0.000, 0.250, 0.375).


<ii>
The following is a DFT calculation (PBE-GGA) of a geometry-optimized Tl2TcSn structure.

For the density of states at the Fermi level, the calculation gives 26.58 states/eV per cell. The calculation puts the magnetic moment at 7.2 Bohr magnetons per cell.

The structure belongs to space group Fm-3m (No. 225); the cell edges are 7.252, 7.252 and 7.252 Å and the angles 90.00°, 90.00° and 90.00°. The distinct sites, in fractional coordinates, are Tl at (0.250, 0.250, 0.250), Tc at (0.000, 0.000, 0.000) and Sn at (0.000, 0.000, 0.500).


The structure with the most favorable energy is <i>; the runner-up is 0.438 eV/atom above it.


<i>
The following is a DFT calculation (PBE-GGA) of a geometry-optimized TlTcSn2 structure.

For the density of states at the Fermi level, the calculation gives 7.76 states/eV per cell. The calculation puts the magnetic moment at 0.0 Bohr magnetons per cell.

The structure belongs to space group R-3m (No. 166, hexagonal axes); the cell edges are 3.3197, 3.3197 and 30.1315 Å and the angles 90.00°, 90.00° and 120.00°. The distinct sites, in fractional coordinates, are Tl at (0.0000, 0.0000, 0.0000), Tc at (0.0000, 0.0000, 0.5000) and Sn at (0.0000, 0.0000, 0.1016).


<ii>
The following is a DFT calculation (PBE-GGA) of a geometry-optimized TlTcSn2 structure.

For the density of states at the Fermi level, the calculation gives 18.56 states/eV per cell. The calculation puts the magnetic moment at 7.4 Bohr magnetons per cell.

The structure belongs to space group Fm-3m (No. 225); the cell edges are 7.169, 7.169 and 7.169 Å and the angles 90.00°, 90.00° and 90.00°. The distinct sites, in fractional coordinates, are Tl at (0.000, 0.000, 0.000), Tc at (0.000, 0.000, 0.500) and Sn at (0.250, 0.250, 0.250).


The structure with the most favorable energy is <i>; the runner-up is 0.434 eV/atom above it.


<i>
The following is a DFT calculation (PBE-GGA) of a geometry-optimized TlTcSn2 structure.

For the density of states at the Fermi level, the calculation gives 4.81 states/eV per cell. The calculation puts the magnetic moment at 0.0 Bohr magnetons per cell.

The structure belongs to space group I-42d (No. 122); the cell edges are 5.978, 5.978 and 15.716 Å and the angles 90.00°, 90.00° and 90.00°. The distinct sites, in fractional coordinates, are Tl at (0.000, 0.000, 0.000), Tc at (0.000, 0.000, 0.500) and Sn at (0.111, 0.250, 0.625).


<ii>
The following is a DFT calculation (PBE-GGA) of a geometry-optimized TlTcSn2 structure.

For the density of states at the Fermi level, the calculation gives 3.05 states/eV per cell. The calculation puts the magnetic moment at 0.0 Bohr magnetons per cell.

The structure belongs to space group P4/mmm (No. 123); the cell edges are 3.300, 3.300 and 8.725 Å and the angles 90.00°, 90.00° and 90.00°. The distinct sites, in fractional coordinates, are Tl at (0.000, 0.000, 0.000), Tc at (0.000, 0.000, 0.500) and Sn at (0.500, 0.500, 0.316).


The structure with the most favorable energy is <ii>; the runner-up is 0.540 eV/atom above it.


<i>
The following is a DFT calculation (PBE-GGA) of a geometry-optimized TlTc2Sn structure.

For the density of states at the Fermi level, the calculation gives 13.47 states/eV per cell. The calculation puts the magnetic moment at 15.4 Bohr magnetons per cell.

The structure belongs to space group I-42d (No. 122); the cell edges are 7.463, 7.463 and 5.991 Å and the angles 90.00°, 90.00° and 90.00°. The distinct sites, in fractional coordinates, are Tl at (0.000, 0.000, 0.000), Tc at (0.237, 0.250, 0.625) and Sn at (0.000, 0.000, 0.500).


<ii>
The following is a DFT calculation (PBE-GGA) of a geometry-optimized TlTc2Sn structure.

For the density of states at the Fermi level, the calculation gives 14.26 states/eV per cell. The calculation puts the magnetic moment at 7.6 Bohr magnetons per cell.

The structure belongs to space group Fm-3m (No. 225); the cell edges are 6.599, 6.599 and 6.599 Å and the angles 90.00°, 90.00° and 90.00°. The distinct sites, in fractional coordinates, are Tl at (0.000, 0.000, 0.000), Tc at (0.250, 0.250, 0.250) and Sn at (0.000, 0.000, 0.500).


The structure with the most favorable energy is <ii>; the runner-up is 0.420 eV/atom above it.


<i>
The following is a DFT calculation (PBE-GGA) of a geometry-optimized TlTcSn3 structure.

For the density of states at the Fermi level, the calculation gives 6.12 states/eV per cell. The calculation puts the magnetic moment at 0.7 Bohr magnetons per cell.

The structure belongs to space group Pm-3m (No. 221); the cell edges are 5.226, 5.226 and 5.226 Å and the angles 90.00°, 90.00° and 90.00°. The distinct sites, in fractional coordinates, are Tl at (0.000, 0.000, 0.000), Tc at (0.500, 0.500, 0.500) and Sn at (0.000, 0.500, 0.500).


<ii>
The following is a DFT calculation (PBE-GGA) of a geometry-optimized TlTcSn3 structure.

For the density of states at the Fermi level, the calculation gives 5.01 states/eV per cell. The calculation puts the magnetic moment at 3.9 Bohr magnetons per cell.

The structure belongs to space group Pm-3m (No. 221); the cell edges are 5.625, 5.625 and 5.625 Å and the angles 90.00°, 90.00° and 90.00°. The distinct sites, in fractional coordinates, are Tl at (0.000, 0.000, 0.000), Tc at (0.500, 0.500, 0.500) and Sn at (0.000, 0.000, 0.500).


The structure with the most favorable energy is <i>; the runner-up is 1.334 eV/atom above it.